# 1
5
Lattice="4.851 0.000 0.000 0.000 4.851 0.000 0.000 0.000 4.851" Properties=species:S:1:pos:R:3 comment="GGA-PBE Sn3BAs, optimized geometry" de_polymorph_mev_per_atom=0.0 rho_g_cm3=6.43 pbc="T T T"
As 2.425 2.425 2.425
B 0.000 0.000 0.000
Sn 0.000 2.425 0.000
Sn 0.000 0.000 2.425
Sn 2.425 0.000 0.000

***

# 2
5
Lattice="-0.700 4.135 -0.159 -3.817 -0.798 -3.942 -2.962 -0.388 2.947" Properties=species:S:1:pos:R:3 comment="GGA-PBE SnB2AsW, optimized geometry" rho_g_cm3=6.79 pbc="T T T"
As -3.740 1.474 -0.577
B -1.481 -0.194 1.474
B -0.350 2.067 -0.079
Sn 0.000 0.000 0.000
W -1.909 -0.399 -1.971

***

Number 1: ΔE_f 0.543 eV per atom. Number 2: ΔE_f 2.339 eV per atom.